(1)
3
Lattice="5.450 -0.253 0.286 4.429 3.191 0.227 1.021 0.361 3.425" Properties=species:S:1:pos:R:3 comment="LiLaNi PBE-GGA optimized geometry" dos_ef_per_ev_atom=0.820 final_energy_ry_per_atom=-0.310 space_group="No. 107" m_tot_mub_per_cell=0.00 e_above_lowest_polymorph_ev_per_atom=0.1861 formation_enthalpy_0k_ev_per_atom=-0.013 pbc="T T T"
La 1.205 0.414 3.365
Li 3.765 1.159 2.523
Ni 6.951 2.086 1.475


(2)
4
Lattice="4.880 0.000 0.000 0.000 4.871 0.000 0.000 0.000 4.871" Properties=species:S:1:pos:R:3 comment="GdY2Hf PBE-GGA optimized geometry" dos_ef_per_ev_atom=1.392 final_energy_ry_per_atom=-0.668 space_group="No. 123" m_tot_mub_per_cell=6.95 formation_enthalpy_0k_ev_per_atom=0.152 pbc="T T T"
Gd 2.440 0.000 0.000
Y 0.000 2.435 0.000
Y 0.000 0.000 2.435
Hf 2.440 2.435 2.435


(3)
17
Lattice="-3.686 0.967 4.115 5.012 -2.219 1.189 4.355 10.592 1.413" Properties=species:S:1:pos:R:3 comment="Th2Ga6Rh9 PBE-GGA optimized geometry" dos_ef_per_ev_atom=0.622 final_energy_ry_per_atom=-0.475 space_group="No. 191" m_tot_mub_per_cell=0.00 formation_enthalpy_0k_ev_per_atom=-0.635 pbc="T T T"
Ga 5.001 5.870 3.102
Ga 0.679 3.470 3.615
Ga -0.787 -0.095 3.140
Ga 3.578 2.408 2.640
Ga 2.112 -1.157 2.164
Ga 2.102 6.932 4.077
Rh 3.246 0.692 0.835
Rh 4.683 4.186 1.301
Rh 2.840 4.670 3.358
Rh 1.403 1.175 2.892
Rh 4.277 8.164 3.825
Rh -1.103 2.285 2.298
Rh 6.120 7.681 1.767
Rh 0.334 5.779 2.764
Rh 1.771 9.274 3.230
Th 3.095 7.527 1.004
Th 1.260 3.065 0.409


(4)
4
Lattice="4.883 0.000 0.000 2.441 4.229 0.000 2.441 1.410 3.987" Properties=species:S:1:pos:R:3 comment="TmMgZrRh PBE-GGA optimized geometry" dos_ef_per_ev_atom=0.739 final_energy_ry_per_atom=-0.427 space_group="No. 216" m_tot_mub_per_cell=0.00 formation_enthalpy_0k_ev_per_atom=-0.320 pbc="T T T"
Mg 0.000 0.000 0.000
Zr 7.324 4.229 2.990
Tm 2.441 1.410 0.997
Rh 4.883 2.819 1.993


(5)
5
Lattice="5.641 0.000 0.000 0.000 5.390 0.000 0.000 0.000 5.641" Properties=species:S:1:pos:R:3 comment="CaAl2SiTe PBE-GGA optimized geometry" dos_ef_per_ev_atom=0.999 final_energy_ry_per_atom=-0.182 space_group="No. 123" m_tot_mub_per_cell=0.00 formation_energy_uncorrected_ev_per_fu=5.69 pbc="T T T"
Te 2.820 2.695 2.820
Al 2.820 0.000 0.000
Al 0.000 0.000 2.820
Ca 0.000 0.000 0.000
Si 0.000 2.695 0.000


(6)
4
Lattice="-1.795 -1.764 1.501 3.101 -2.436 0.844 1.076 3.061 4.884" Properties=species:S:1:pos:R:3 comment="AgHgPt2 PBE-GGA optimized geometry" dos_ef_per_ev_atom=0.450 final_energy_ry_per_atom=-0.277 space_group="No. 47" m_tot_mub_per_cell=0.00 formation_enthalpy_0k_ev_per_atom=0.035 pbc="T T T"
Pt 0.532 1.514 2.416
Pt 0.006 0.016 0.026
Hg 1.460 0.196 4.835
Ag 0.922 -1.335 2.394


(7)
4
Lattice="4.689 -0.003 0.000 1.694 4.372 0.000 -3.191 -2.185 2.651" Properties=species:S:1:pos:R:3 comment="BeOs2Pt PBE-GGA optimized geometry" dos_ef_per_ev_atom=0.782 final_energy_ry_per_atom=-0.578 space_group="No. 139" m_tot_mub_per_cell=0.00 formation_enthalpy_0k_ev_per_atom=0.196 pbc="T T T"
Pt 0.847 2.186 1.326
Os 3.191 2.185 0.000
Os 0.000 0.000 0.000
Be 2.344 -0.002 1.326


(8)
26
Lattice="-2.205 2.432 1.592 -2.380 -5.953 1.617 12.782 -0.208 18.014" Properties=species:S:1:pos:R:3 comment="K5TlF7 PBE-GGA optimized geometry" dos_ef_per_ev_atom=0.122 final_energy_ry_per_atom=-0.301 space_group="No. 8" m_tot_mub_per_cell=0.00 formation_energy_uncorrected_ev_per_fu=-32.21 pbc="T T T"
K 0.574 0.839 3.691
K -0.974 -2.635 2.676
K 6.391 -0.105 9.009
K 9.164 -1.103 18.551
K 4.680 -1.029 12.231
K 12.776 -0.213 18.013
K 7.617 -4.575 17.533
K 3.108 0.803 7.256
K 3.518 -2.703 8.998
K 5.089 -4.535 13.970
F 5.565 -1.815 14.656
F 7.160 -1.840 16.902
F 7.178 -0.960 11.404
F 1.019 -2.772 9.823
F 9.722 -3.655 19.041
F 1.034 -1.894 4.324
F -2.586 -2.722 4.755
F 0.373 -3.892 6.459
F 7.822 0.159 14.766
F 3.825 -0.167 9.730
F 10.767 -1.020 16.463
F 4.372 -3.566 11.498
F -1.536 -0.085 2.183
F 2.634 -1.916 6.573
Tl 8.054 -2.242 14.575
Tl 0.144 -1.490 6.654


(9)
4
Lattice="-3.498 0.565 -2.854 0.708 0.003 -4.494 -1.968 -7.081 -2.617" Properties=species:S:1:pos:R:3 comment="Ca2TeI PBE-GGA optimized geometry" dos_ef_per_ev_atom=0.559 final_energy_ry_per_atom=-0.256 space_group="No. 166" m_tot_mub_per_cell=0.00 formation_energy_uncorrected_ev_per_fu=-5.22 e_above_lowest_polymorph_ev_per_atom=0.0000 pbc="T T T"
Te 0.000 0.000 0.000
I -2.379 -3.257 -4.983
Ca -3.596 -5.079 -7.478
Ca -1.162 -1.434 -2.487


(10)
3
Lattice="3.031 0.000 0.000 -1.515 2.625 0.000 0.000 0.000 7.983" Properties=species:S:1:pos:R:3 comment="UZnIn PBE-GGA optimized geometry" dos_ef_per_ev_atom=1.820 final_energy_ry_per_atom=-0.363 space_group="No. 156" m_tot_mub_per_cell=1.99 formation_enthalpy_0k_ev_per_atom=0.161 pbc="T T T"
Zn 1.515 0.875 2.692
In 0.000 1.750 5.198
U 0.000 0.000 0.092


(11)
4
Lattice="-0.319 -3.807 3.734 5.306 -0.595 -0.154 0.324 2.280 2.352" Properties=species:S:1:pos:R:3 comment="Al2SbBr PBE-GGA optimized geometry" dos_ef_per_ev_atom=0.201 final_energy_ry_per_atom=-0.237 space_group="No. 123" m_tot_mub_per_cell=0.00 formation_energy_uncorrected_ev_per_fu=0.38 e_above_lowest_polymorph_ev_per_atom=0.2263 pbc="T T T"
Sb 2.815 0.842 1.099
Al 2.494 -2.201 1.790
Al 0.000 0.000 0.000
Br 0.003 -0.763 3.043


(12)
20
Lattice="-5.792 19.059 3.481 -1.816 0.499 -5.755 -0.655 -8.049 -0.492" Properties=species:S:1:pos:R:3 comment="YBeAu3 PBE-GGA optimized geometry" dos_ef_per_ev_atom=0.311 final_energy_ry_per_atom=-0.329 space_group="No. 64" m_tot_mub_per_cell=0.00 e_above_lowest_polymorph_ev_per_atom=0.0911 formation_enthalpy_0k_ev_per_atom=-0.476 pbc="T T T"
Au -5.911 9.446 1.095
Au -6.504 13.278 -2.715
Au -3.842 1.305 -0.328
Au -4.421 10.205 -2.437
Au -2.352 2.063 -3.861
Au -1.887 -3.340 -4.533
Au -4.977 11.964 -0.125
Au -6.376 14.849 1.768
Au -1.759 -1.769 -0.051
Au -5.573 7.567 -2.360
Au -3.286 -0.455 -2.641
Au -2.690 3.942 -0.406
Be -4.416 0.531 -4.504
Be -6.320 13.903 -0.414
Be -1.943 -2.394 -2.352
Be -3.847 10.978 1.738
Y -0.992 1.045 -1.190
Y -7.271 10.464 -1.576
Y -4.047 4.959 -3.072
Y -4.216 6.550 0.307